Version one
# Pr3CoBr3

A relaxed structure of Pr3CoBr3 (PBE-GGA, Alexandria).

Geometry as CIF:
```
data_Pr3CoBr3
_cell_length_a 9.043
_cell_length_b 4.117
_cell_length_c 12.043
_cell_angle_alpha 90.00
_cell_angle_beta 93.09
_cell_angle_gamma 90.00
_space_group_name_H-M_alt 'P 1 21/m 1'
_space_group_IT_number 11
loop_
_space_group_symop_operation_xyz
'x,y,z'
'-x,-y,-z'
'-x,y+1/2,-z'
'x,-y+1/2,z'
loop_
_atom_site_label
_atom_site_type_symbol
_atom_site_fract_x
_atom_site_fract_y
_atom_site_fract_z
Pr1 Pr 0.098 0.250 0.389
Pr2 Pr 0.122 0.250 0.843
Pr3 Pr 0.322 0.750 0.624
Co1 Co 0.118 0.250 0.624
Br1 Br 0.123 0.250 0.117
Br2 Br 0.369 0.750 0.877
Br3 Br 0.387 0.750 0.372
```



Version two
# Pr3CoBr3

A relaxed structure of Pr3CoBr3 (PBE-GGA, Alexandria).

Geometry as CIF:
```
data_Pr3CoBr3
_cell_length_a 11.988
_cell_length_b 11.988
_cell_length_c 11.988
_cell_angle_alpha 90.00
_cell_angle_beta 90.00
_cell_angle_gamma 90.00
_space_group_name_H-M_alt 'I 41 3 2'
_space_group_IT_number 214
_space_group_name_Hall 'I 4bd 2c 3'
loop_
_atom_site_label
_atom_site_type_symbol
_atom_site_fract_x
_atom_site_fract_y
_atom_site_fract_z
Pr1 Pr 0.107 0.357 0.125
Co1 Co 0.125 0.125 0.125
Br1 Br 0.118 0.132 0.625
```



Least stable = version one